## A
! SrBe2Rh (PBEsol, relaxed); values from VASP
&SYSTEM
  ibrav = 0, nat = 4, ntyp = 3
/
ATOMIC_SPECIES
Sr 87.62 Sr.upf
Be 9.01 Be.upf
Rh 102.91 Rh.upf
ATOMIC_POSITIONS crystal
Sr 0.000 0.000 0.000
Be 0.500 0.500 0.341
Be 0.500 0.500 0.659
Rh 0.000 0.000 0.500
CELL_PARAMETERS angstrom
2.978 0.000 0.000
0.000 2.978 0.000
0.000 0.000 6.864
! **D(E_F)**: 2.58 states/eV per cell
! **Calculated density**: 5691 kg/m3
! **SG**: P4/mmm (123)
! **Volume**: 60.85 Å³ per cell

## B
! SrBe2Rh (PBEsol, relaxed); values from VASP
&SYSTEM
  ibrav = 0, nat = 4, ntyp = 3
/
ATOMIC_SPECIES
Sr 87.62 Sr.upf
Be 9.01 Be.upf
Rh 102.91 Rh.upf
ATOMIC_POSITIONS crystal
Sr 0.000 0.000 0.000
Be 0.499 0.499 0.499
Be 0.818 0.818 0.818
Rh 0.190 0.190 0.190
CELL_PARAMETERS angstrom
1.936 1.118 5.435
-1.936 1.118 5.435
0.000 -2.235 5.435
! **D(E_F)**: 2.21 states/eV per cell
! **Calculated density**: 4909 kg/m3
! **SG**: R3m (160)
! **Volume**: 70.54 Å³ per cell

Q: Which of them is the least stable? A: A.

## A
! SrBeRh (PBEsol, relaxed); values from VASP
&SYSTEM
  ibrav = 0, nat = 3, ntyp = 3
/
ATOMIC_SPECIES
Sr 87.62 Sr.upf
Be 9.01 Be.upf
Rh 102.91 Rh.upf
ATOMIC_POSITIONS crystal
Sr 0.000 0.000 0.000
Be 0.275 0.275 0.000
Rh 0.723 0.723 0.000
CELL_PARAMETERS angstrom
-1.581 1.581 5.303
1.581 -1.581 5.303
1.581 1.581 -5.303
! **D(E_F)**: 1.39 states/eV per cell
! **Calculated density**: 6245 kg/m3
! **SG**: I4mm (107)
! **Volume**: 53.05 Å³ per cell

## B
! SrBeRh (PBEsol, relaxed); values from VASP
&SYSTEM
  ibrav = 0, nat = 3, ntyp = 3
/
ATOMIC_SPECIES
Sr 87.62 Sr.upf
Be 9.01 Be.upf
Rh 102.91 Rh.upf
ATOMIC_POSITIONS crystal
Sr 0.000 0.000 0.000
Be 0.250 0.250 0.250
Rh 0.750 0.750 0.750
CELL_PARAMETERS angstrom
0.000 3.243 3.243
3.243 0.000 3.243
3.243 3.243 0.000
! **D(E_F)**: 2.33 states/eV per cell
! **Calculated density**: 4856 kg/m3
! **SG**: F-43m (216)
! **Volume**: 68.24 Å³ per cell

## C
! SrBeRh (PBEsol, relaxed); values from VASP
&SYSTEM
  ibrav = 0, nat = 3, ntyp = 3
/
ATOMIC_SPECIES
Sr 87.62 Sr.upf
Be 9.01 Be.upf
Rh 102.91 Rh.upf
ATOMIC_POSITIONS crystal
Sr 0.000 0.000 0.000
Be 0.333 0.667 0.500
Rh 0.667 0.333 0.500
CELL_PARAMETERS angstrom
3.871 0.000 0.000
-1.935 3.352 0.000
0.000 0.000 4.522
! **D(E_F)**: 1.25 states/eV per cell
! **Calculated density**: 5647 kg/m3
! **SG**: P-6m2 (187)
! **Volume**: 58.68 Å³ per cell

Q: Which of them is the least stable? A: B.

## A
! BeTl2Rh (PBEsol, relaxed); values from VASP
&SYSTEM
  ibrav = 0, nat = 4, ntyp = 3
/
ATOMIC_SPECIES
Be 9.01 Be.upf
Tl 204.38 Tl.upf
Rh 102.91 Rh.upf
ATOMIC_POSITIONS crystal
Be 0.000 0.000 0.000
Tl 0.434 0.434 0.000
Tl 0.715 0.215 0.500
Rh 0.145 0.645 0.500
CELL_PARAMETERS angstrom
-1.541 2.181 5.476
1.541 -2.181 5.476
1.541 2.181 -5.476
! **D(E_F)**: 1.59 states/eV per cell
! **Calculated density**: 11741 kg/m3
! **SG**: Imm2 (44)
! **Volume**: 73.64 Å³ per cell

## B
! BeTl2Rh (PBEsol, relaxed); values from VASP
&SYSTEM
  ibrav = 0, nat = 4, ntyp = 3
/
ATOMIC_SPECIES
Be 9.01 Be.upf
Tl 204.38 Tl.upf
Rh 102.91 Rh.upf
ATOMIC_POSITIONS crystal
Be 0.000 0.000 0.000
Tl 0.000 0.500 0.500
Tl 0.500 0.500 0.000
Rh 0.500 0.000 0.500
CELL_PARAMETERS angstrom
3.317 0.000 0.000
0.000 4.235 0.000
0.000 0.000 5.125
! **D(E_F)**: 1.64 states/eV per cell
! **Calculated density**: 12008 kg/m3
! **SG**: Pmmm (47)
! **Volume**: 72.00 Å³ per cell

Q: Which of them is the least stable? A: B.

## A
! YBeRh (PBEsol, relaxed); values from VASP
&SYSTEM
  ibrav = 0, nat = 3, ntyp = 3
/
ATOMIC_SPECIES
Y 88.91 Y.upf
Be 9.01 Be.upf
Rh 102.91 Rh.upf
ATOMIC_POSITIONS crystal
Y 0.000 0.000 0.000
Be 0.250 0.250 0.250
Rh 0.750 0.750 0.750
CELL_PARAMETERS angstrom
0.000 3.119 3.119
3.119 0.000 3.119
3.119 3.119 0.000
! **D(E_F)**: 0.97 states/eV per cell
! **Calculated density**: 5497 kg/m3
! **SG**: F-43m (216)
! **Volume**: 60.66 Å³ per cell

## B
! YBeRh (PBEsol, relaxed); values from VASP
&SYSTEM
  ibrav = 0, nat = 3, ntyp = 3
/
ATOMIC_SPECIES
Y 88.91 Y.upf
Be 9.01 Be.upf
Rh 102.91 Rh.upf
ATOMIC_POSITIONS crystal
Y 0.000 0.000 0.000
Be 0.333 0.667 0.500
Rh 0.667 0.333 0.500
CELL_PARAMETERS angstrom
3.867 0.000 0.000
-1.933 3.349 0.000
0.000 0.000 3.944
! **D(E_F)**: 1.54 states/eV per cell
! **Calculated density**: 6530 kg/m3
! **SG**: P-6m2 (187)
! **Volume**: 51.07 Å³ per cell

Q: Which of them is the least stable? A: A.

## A
! ZrBe2Rh (PBEsol, relaxed); values from VASP
&SYSTEM
  ibrav = 0, nat = 4, ntyp = 3
/
ATOMIC_SPECIES
Zr 91.22 Zr.upf
Be 9.01 Be.upf
Rh 102.91 Rh.upf
ATOMIC_POSITIONS crystal
Zr 0.000 0.000 0.000
Be 0.250 0.250 0.250
Be 0.500 0.500 0.500
Rh 0.750 0.750 0.750
CELL_PARAMETERS angstrom
0.000 2.992 2.992
2.992 0.000 2.992
2.992 2.992 0.000
! **D(E_F)**: 3.64 states/eV per cell
! **Calculated density**: 6574 kg/m3
! **SG**: F-43m (216)
! **Volume**: 53.59 Å³ per cell

## B
! ZrBe2Rh (PBEsol, relaxed); values from VASP
&SYSTEM
  ibrav = 0, nat = 4, ntyp = 3
/
ATOMIC_SPECIES
Zr 91.22 Zr.upf
Be 9.01 Be.upf
Rh 102.91 Rh.upf
ATOMIC_POSITIONS crystal
Zr 0.000 0.000 0.000
Be 0.207 0.207 0.207
Be 0.793 0.793 0.793
Rh 0.500 0.500 0.500
CELL_PARAMETERS angstrom
1.871 1.080 4.408
-1.871 1.080 4.408
0.000 -2.161 4.408
! **D(E_F)**: 1.85 states/eV per cell
! **Calculated density**: 6589 kg/m3
! **SG**: R-3m (166)
! **Volume**: 53.47 Å³ per cell

## C
! ZrBe2Rh (PBEsol, relaxed); values from VASP
&SYSTEM
  ibrav = 0, nat = 4, ntyp = 3
/
ATOMIC_SPECIES
Zr 91.22 Zr.upf
Be 9.01 Be.upf
Rh 102.91 Rh.upf
ATOMIC_POSITIONS crystal
Zr 0.000 0.000 0.000
Be 0.202 0.202 0.202
Be 0.521 0.521 0.521
Rh 0.790 0.790 0.790
CELL_PARAMETERS angstrom
1.859 1.073 4.498
-1.859 1.073 4.498
0.000 -2.146 4.498
! **D(E_F)**: 2.89 states/eV per cell
! **Calculated density**: 6544 kg/m3
! **SG**: R3m (160)
! **Volume**: 53.83 Å³ per cell

Q: Which of them is the least stable? A: A.

## A
! Be4Ru (PBEsol, relaxed); values from VASP
&SYSTEM
  ibrav = 0, nat = 5, ntyp = 2
/
ATOMIC_SPECIES
Be 9.01 Be.upf
Ru 101.07 Ru.upf
ATOMIC_POSITIONS crystal
Be 0.099 0.099 0.000
Be 0.250 0.750 0.500
Be 0.750 0.250 0.500
Be 0.901 0.901 0.000
Ru 0.500 0.500 0.000
CELL_PARAMETERS angstrom
-1.504 1.504 4.984
1.504 -1.504 4.984
1.504 1.504 -4.984
! **D(E_F)**: 0.83 states/eV per cell
! **Calculated density**: 5049 kg/m3
! **SG**: I4/mmm (139)
! **Volume**: 45.10 Å³ per cell

## B
! Be4Ru (PBEsol, relaxed); values from VASP
&SYSTEM
  ibrav = 0, nat = 5, ntyp = 2
/
ATOMIC_SPECIES
Be 9.01 Be.upf
Ru 101.07 Ru.upf
ATOMIC_POSITIONS crystal
Be 0.000 0.000 0.500
Be 0.000 0.500 0.000
Be 0.500 0.000 0.000
Be 0.500 0.500 0.500
Ru 0.000 0.000 0.000
CELL_PARAMETERS angstrom
-2.534 2.534 2.534
2.534 -2.534 2.534
2.534 2.534 -2.534
! **D(E_F)**: 2.76 states/eV per cell
! **Calculated density**: 3500 kg/m3
! **SG**: Im-3m (229)
! **Volume**: 65.06 Å³ per cell

Q: Which of them is the least stable? A: B.

## A
! BeSbRu2 (PBEsol, relaxed); values from VASP
&SYSTEM
  ibrav = 0, nat = 4, ntyp = 3
/
ATOMIC_SPECIES
Be 9.01 Be.upf
Sb 121.76 Sb.upf
Ru 101.07 Ru.upf
ATOMIC_POSITIONS crystal
Be 0.000 0.000 0.000
Sb 0.500 0.500 0.500
Ru 0.250 0.250 0.250
Ru 0.750 0.750 0.750
CELL_PARAMETERS angstrom
0.000 3.004 3.004
3.004 0.000 3.004
3.004 3.004 0.000
! **D(E_F)**: 2.27 states/eV per cell
! **Calculated density**: 10200 kg/m3
! **SG**: Fm-3m (225)
! **Volume**: 54.20 Å³ per cell

## B
! BeSbRu2 (PBEsol, relaxed); values from VASP
&SYSTEM
  ibrav = 0, nat = 4, ntyp = 3
/
ATOMIC_SPECIES
Be 9.01 Be.upf
Sb 121.76 Sb.upf
Ru 101.07 Ru.upf
ATOMIC_POSITIONS crystal
Be 0.000 0.000 0.000
Sb 0.000 0.000 0.500
Ru 0.500 0.500 0.229
Ru 0.500 0.500 0.771
CELL_PARAMETERS angstrom
3.041 0.000 0.000
0.000 3.041 0.000
0.000 0.000 5.868
! **D(E_F)**: 2.59 states/eV per cell
! **Calculated density**: 10190 kg/m3
! **SG**: P4/mmm (123)
! **Volume**: 54.25 Å³ per cell

## C
! BeSbRu2 (PBEsol, relaxed); values from VASP
&SYSTEM
  ibrav = 0, nat = 4, ntyp = 3
/
ATOMIC_SPECIES
Be 9.01 Be.upf
Sb 121.76 Sb.upf
Ru 101.07 Ru.upf
ATOMIC_POSITIONS crystal
Be 0.000 0.000 0.000
Sb 0.500 0.500 0.770
Ru 0.000 0.500 0.245
Ru 0.500 0.000 0.438
CELL_PARAMETERS angstrom
2.986 0.000 0.000
0.000 4.309 0.000
0.000 0.000 4.428
! **D(E_F)**: 3.19 states/eV per cell
! **Calculated density**: 9704 kg/m3
! **SG**: Pmm2 (25)
! **Volume**: 56.97 Å³ per cell

Q: Which of them is the least stable? A: C.

## A
! BeRu2Se (PBEsol, relaxed); values from VASP
&SYSTEM
  ibrav = 0, nat = 4, ntyp = 3
/
ATOMIC_SPECIES
Be 9.01 Be.upf
Ru 101.07 Ru.upf
Se 78.96 Se.upf
ATOMIC_POSITIONS crystal
Be 0.000 0.000 0.000
Ru 0.257 0.257 0.257
Ru 0.743 0.743 0.743
Se 0.500 0.500 0.500
CELL_PARAMETERS angstrom
1.449 0.837 7.067
-1.449 0.837 7.067
0.000 -1.673 7.067
! **D(E_F)**: 2.91 states/eV per cell
! **Calculated density**: 9370 kg/m3
! **SG**: R-3m (166)
! **Volume**: 51.41 Å³ per cell

## B
! BeRu2Se (PBEsol, relaxed); values from VASP
&SYSTEM
  ibrav = 0, nat = 4, ntyp = 3
/
ATOMIC_SPECIES
Be 9.01 Be.upf
Ru 101.07 Ru.upf
Se 78.96 Se.upf
ATOMIC_POSITIONS crystal
Be 0.000 0.000 0.000
Ru 0.500 0.500 0.000
Ru 0.750 0.250 0.500
Se 0.250 0.750 0.500
CELL_PARAMETERS angstrom
-1.744 1.744 4.222
1.744 -1.744 4.222
1.744 1.744 -4.222
! **D(E_F)**: 4.59 states/eV per cell
! **Calculated density**: 9376 kg/m3
! **SG**: I-4m2 (119)
! **Volume**: 51.38 Å³ per cell

Q: Which of them is the least stable? A: B.